Entry 1:
Density functional theory data (GGA-PBE) for a geometry-optimized Rb3Np3BiTe8 structure.

The space group is R-3m (No. 166, hexagonal axes) and the conventional cell measures 9.1053, 9.1053 and 25.8859 Å, with angles of 90.00, 90.00 and 120.00 degrees. The asymmetric unit holds Rb at (0.0000, 0.5000, 0.0000), Np at (0.0000, 0.5000, 0.5000), Bi at (0.0000, 0.0000, 0.5000), Te at (0.0000, 0.0000, 0.2330) and Te at (0.0083, 0.5041, 0.7670).

As for the raw formation energy: -0.767 eV/atom. Its crystal system is trigonal.

Entry 2:
Density functional theory data (GGA-PBE) for a geometry-optimized NpBi2Rh structure.

The space group is R-3m (No. 166, hexagonal axes) and the conventional cell measures 3.3975, 3.3975 and 31.4582 Å, with angles of 90.00, 90.00 and 120.00 degrees. The asymmetric unit holds Np at (0.0000, 0.0000, 0.0000), Bi at (0.0000, 0.0000, 0.1031) and Rh at (0.0000, 0.0000, 0.5000).

Its crystal system is trigonal. The value obtained for the energy relative to the elements is 0.2956 eV per atom.

Number 1 is which compound? Rb3Np3BiTe8